Computed, not measured: a relaxed structure of Pm2TmCu at the PBE level of DFT.

Unit cell a=11.5097 b=11.5097 c=11.5097 alpha=17.41 beta=17.41 gamma=17.41
Element x y z (fractional)
Pm: 0.0825 0.0825 0.0825
Pm: 0.9175 0.9175 0.9175
Tm: 0.5000 0.5000 0.5000
Cu: 0.0000 0.0000 0.0000

## Properties
Magnetic moment: 0.00 μB/cell
Formation energy from the elements: 0.42 eV per atom
Energy relative to the lowest polymorph listed for this composition: 467 meV/atom
Raw total energy: -4.0967 eV/atom